[1]
The following is a PBE-GGA calculation of EuPaN after structural relaxation, from Alexandria via LeMat-Bulk.

Crystal system   tetragonal
Space-group type   I4mm
Spin magnetization   8.26 μB per cell
Total energy   -29.8 eV for the cell shown

a = 3.2787 Å, b = 3.2787 Å, c = 7.1549 Å
α = 103.25°, β = 103.25°, γ = 90.00°
Each line ends with the local moment (μB).
Element x y z (fractional)
1 N 0.7821 0.7821 0.5641  -0.03
2 Eu 0.9703 0.9703 0.9405  7.04
3 Pa 0.2477 0.2477 0.4953  0.63

=====

[2]
The following is a PBE-GGA calculation of EuPaN2 after structural relaxation, from Alexandria via LeMat-Bulk.

Crystal system   trigonal
Space-group type   R-3m
Spin magnetization   7.24 μB per cell
Total energy   -42.3 eV for the cell shown

a = 3.5869 Å, b = 3.5869 Å, c = 6.1927 Å
α = 73.17°, β = 73.17°, γ = 60.00°
Each line ends with the local moment (μB).
Element x y z (fractional)
1 Pa 0.5000 0.5000 0.5000  0.21
2 N 0.2339 0.2339 0.2983  -0.05
3 Eu 0.0000 0.0000 0.0000  6.80
4 N 0.7661 0.7661 0.7017  -0.05

=====

Q: Among the records above, which one has the highest spin magnetization?
A: EuPaN